First-principles (GGA-PBE) data for a relaxed RbInF2 crystal, as listed in Alexandria.

Unit cell a=3.380 b=3.380 c=6.973 alpha=90.00 beta=90.00 gamma=90.00
Positions (direct):
In1 0.500 0.500 0.000
F1 0.000 0.000 0.253
F2 0.000 0.000 0.747
Rb1 0.500 0.500 0.500

Energy relative to the elements, uncorrected ... -2.0026 eV/atom
SG ... No. 123
Energy above the most stable polymorph in this dataset ... 75 meV per atom
Magnetization ... 0.00 μB per formula unit